[1]
Compound: NiMoIr2
Source: Alexandria
Functional: PBE-GGA
Structure: optimized geometry

- DOS at the Fermi energy: 1.480 states/eV/atom
- Formation energy: -0.12 eV/atom
- Uncorrected energy: -8.71 eV per atom

Cell lengths 4.7385, 4.7385, 4.7385 Å; angles 132.93, 132.93, 68.77 degrees
Sites, in units of the cell vectors:
Ni: 0.0000 0.0000 0.0000
Mo: 0.2500 0.7500 0.5000
Ir: 0.5000 0.5000 0.0000
Ir: 0.7500 0.2500 0.5000


[2]
Compound: Ac3La2Sn4
Source: Alexandria
Functional: PBE-GGA
Structure: optimized geometry

- DOS at the Fermi energy: 0.800 states/eV/atom
- Formation energy: -0.75 eV/atom
- Uncorrected energy: -5.00 eV per atom

Cell lengths 8.9473, 8.8522, 8.6728 Å; angles 90.00, 111.67, 90.00 degrees
Sites, in units of the cell vectors:
Ac: 0.0000 0.0000 0.0000
Ac: 0.0000 0.5000 0.5000
Ac: 0.3049 0.1813 0.4358
Ac: 0.3049 0.3187 0.9358
Ac: 0.6951 0.6813 0.0642
Ac: 0.6951 0.8187 0.5642
La: 0.2611 0.6654 0.2710
La: 0.2611 0.8346 0.7710
La: 0.7389 0.1654 0.2290
La: 0.7389 0.3346 0.7290
Sn: 0.0039 0.1272 0.6234
Sn: 0.0039 0.3728 0.1234
Sn: 0.4187 0.5399 0.6705
Sn: 0.4187 0.9601 0.1705
Sn: 0.5813 0.0399 0.8295
Sn: 0.5813 0.4601 0.3295
Sn: 0.9961 0.6272 0.8766
Sn: 0.9961 0.8728 0.3766


[3]
Compound: Zr2PbSe
Source: Alexandria
Functional: PBE-GGA
Structure: optimized geometry

- DOS at the Fermi energy: 0.592 states/eV/atom
- Energy relative to the elements, uncorrected: -1.58 eV/f.u.
- Uncorrected energy: -6.47 eV per atom

Cell lengths 9.8508, 9.8508, 9.8508 Å; angles 20.32, 20.32, 20.32 degrees
Sites, in units of the cell vectors:
Zr: 0.0000 0.0000 0.0000
Zr: 0.2502 0.2502 0.2502
Pb: 0.7582 0.7582 0.7582
Se: 0.5226 0.5226 0.5226


[4]
Compound: Rb3TcOs
Source: Alexandria
Functional: PBE-GGA
Structure: optimized geometry

- DOS at the Fermi energy: 1.727 states/eV/atom
- Formation energy: 2.13 eV/atom
- Uncorrected energy: -2.77 eV per atom

Cell lengths 6.4063, 6.4063, 6.4063 Å; angles 90.00, 90.00, 90.00 degrees
Sites, in units of the cell vectors:
Rb: 0.0000 0.0000 0.5000
Rb: 0.0000 0.5000 0.0000
Rb: 0.5000 0.0000 0.0000
Tc: 0.5000 0.5000 0.5000
Os: 0.0000 0.0000 0.0000